--- 1 ---
Computed, not measured: a relaxed structure of Ag2IrOs at the GGA-PBEsol level of DFT.

Unit cell a=9.4015 b=9.4015 c=9.4015 alpha=16.79 beta=16.79 gamma=16.79
Closest atoms and distances in Å follow each position.
Element x y z (fractional)
Ag 0.0000 0.0000 0.0000  9 Ag 2.74-2.88, 3 Os 2.87
Ag 0.2468 0.2468 0.2468  9 Ag 2.74-2.88, 3 Ir 2.87
Ir 0.4940 0.4940 0.4940  3 Os 2.61, 6 Ir 2.74, 3 Ag 2.87
Os 0.7526 0.7526 0.7526  3 Ir 2.61, 6 Os 2.74, 3 Ag 2.87

Its space group is No. 160.

---

--- 2 ---
Computed, not measured: a relaxed structure of Ag2IrOs at the GGA-PBEsol level of DFT.

Unit cell a=2.7104 b=4.6552 c=4.8588 alpha=90.00 beta=90.00 gamma=90.00
Closest atoms and distances in Å follow each position.
Element x y z (fractional)
Ag 0.0000 0.0000 0.0000  6 Ag 2.69-2.71, 4 Os 2.78
Ag 0.5000 0.5000 0.0000  6 Ag 2.69-2.71, 4 Ir 2.78
Ir 0.0000 0.5000 0.5000  4 Os 2.69, 2 Ir 2.71, 4 Ag 2.78
Os 0.5000 0.0000 0.5000  4 Ir 2.69, 2 Os 2.71, 4 Ag 2.78

Its space group is No. 47.

---

1 (33.2 kJ/mol of atoms below the next structure)

---

--- 1 ---
Computed, not measured: a relaxed structure of AgIrPt2 at the GGA-PBEsol level of DFT.

Unit cell a=2.7509 b=2.7509 c=7.9894 alpha=90.00 beta=90.00 gamma=90.00
Closest atoms and distances in Å follow each position.
Element x y z (fractional)
Ag 0.0000 0.0000 0.0000  4 Ag 2.75, 8 Pt 2.87
Ir 0.0000 0.0000 0.5000  8 Pt 2.71, 4 Ir 2.75
Pt 0.5000 0.5000 0.2646  4 Ir 2.71, 4 Pt 2.75, 4 Ag 2.87
Pt 0.5000 0.5000 0.7354  4 Ir 2.71, 4 Pt 2.75, 4 Ag 2.87

Its space group is No. 123.

---

--- 2 ---
Computed, not measured: a relaxed structure of AgIrPt2 at the GGA-PBEsol level of DFT.

Unit cell a=4.7716 b=4.7716 c=4.7716 alpha=131.36 beta=131.36 gamma=71.24
Closest atoms and distances in Å follow each position.
Element x y z (fractional)
Ag 0.0000 0.0000 0.0000  4 Ir 2.76, 8 Pt 2.76-2.78
Ir 0.7500 0.2500 0.5000  8 Pt 2.76-2.78, 4 Ag 2.76
Pt 0.2500 0.7500 0.5000  4 Pt 2.76, 4 Ag 2.76, 4 Ir 2.78
Pt 0.5000 0.5000 0.0000  4 Ir 2.76, 4 Pt 2.76, 4 Ag 2.78

Its space group is No. 119.

---

--- 3 ---
Computed, not measured: a relaxed structure of AgIrPt2 at the GGA-PBEsol level of DFT.

Unit cell a=2.7459 b=2.7459 c=8.0269 alpha=90.00 beta=90.00 gamma=90.00
Closest atoms and distances in Å follow each position.
Element x y z (fractional)
Ag 0.0000 0.0000 0.0000  4 Ag 2.75, 4 Ir 2.86, 4 Pt 2.86
Ir 0.5000 0.5000 0.2609  4 Pt 2.68, 4 Ir 2.75, 4 Ag 2.86
Pt 0.0000 0.0000 0.4915  4 Ir 2.68, 8 Pt 2.75-2.77
Pt 0.5000 0.5000 0.7382  8 Pt 2.75-2.77, 4 Ag 2.86

Its space group is No. 99.

---

1 (8.8 kJ/mol of atoms below the next structure)

---

--- 1 ---
Computed, not measured: a relaxed structure of Ag2IrPt at the GGA-PBEsol level of DFT.

Unit cell a=3.1415 b=3.1415 c=6.2793 alpha=90.00 beta=90.00 gamma=90.00
Closest atoms and distances in Å follow each position.
Element x y z (fractional)
Ag 0.0000 0.0000 0.2485  4 Ir 2.71, 4 Pt 2.73
Ag 0.0000 0.0000 0.7515  4 Ir 2.71, 4 Pt 2.73
Ir 0.5000 0.5000 0.0000  8 Ag 2.71
Pt 0.5000 0.5000 0.5000  8 Ag 2.73

Its space group is No. 123.

---

--- 2 ---
Computed, not measured: a relaxed structure of Ag2IrPt at the GGA-PBEsol level of DFT.

Unit cell a=4.9856 b=4.9856 c=4.9856 alpha=134.64 beta=134.64 gamma=66.09
Closest atoms and distances in Å follow each position.
Element x y z (fractional)
Ag 0.2500 0.7500 0.5000  4 Ag 2.72, 4 Ir 2.84, 4 Pt 2.84
Ag 0.7500 0.2500 0.5000  4 Ag 2.72, 4 Ir 2.84, 4 Pt 2.84
Ir 0.0000 0.0000 0.0000  4 Pt 2.72, 8 Ag 2.84
Pt 0.5000 0.5000 0.0000  4 Ir 2.72, 8 Ag 2.84

Its space group is No. 139.

---

--- 3 ---
Computed, not measured: a relaxed structure of Ag2IrPt at the GGA-PBEsol level of DFT.

Unit cell a=4.4428 b=4.4428 c=4.4428 alpha=60.00 beta=60.00 gamma=60.00
Closest atoms and distances in Å follow each position.
Element x y z (fractional)
Ag 0.2500 0.2500 0.2500  4 Pt 2.72, 4 Ir 2.72
Ag 0.7500 0.7500 0.7500  4 Ir 2.72, 4 Pt 2.72
Ir 0.0000 0.0000 0.0000  8 Ag 2.72
Pt 0.5000 0.5000 0.5000  8 Ag 2.72

Its space group is No. 225.

---

--- 4 ---
Computed, not measured: a relaxed structure of Ag2IrPt at the GGA-PBEsol level of DFT.

Unit cell a=4.4445 b=4.4445 c=4.4445 alpha=60.00 beta=60.00 gamma=60.00
Closest atoms and distances in Å follow each position.
Element x y z (fractional)
Ag 0.0000 0.0000 0.0000  4 Pt 2.72, 4 Ag 2.72
Ag 0.2500 0.2500 0.2500  4 Ir 2.72, 4 Ag 2.72
Ir 0.5000 0.5000 0.5000  4 Pt 2.72, 4 Ag 2.72
Pt 0.7500 0.7500 0.7500  4 Ir 2.72, 4 Ag 2.72

Its space group is No. 216.

---

2 (3.5 kJ/mol of atoms below the next structure)

---

--- 1 ---
Computed, not measured: a relaxed structure of Ag2IrPt at the GGA-PBEsol level of DFT.

Unit cell a=2.6730 b=4.2251 c=5.4719 alpha=90.00 beta=90.00 gamma=90.00
Closest atoms and distances in Å follow each position.
Element x y z (fractional)
Ag 0.0000 0.0000 0.2483  4 Ag 2.67-2.75, 4 Ir 2.85, 4 Pt 2.85
Ag 0.0000 0.0000 0.7517  4 Ag 2.67-2.75, 4 Ir 2.85, 4 Pt 2.85
Ir 0.5000 0.5000 0.0000  2 Ir 2.67, 2 Pt 2.74, 8 Ag 2.85
Pt 0.5000 0.5000 0.5000  2 Pt 2.67, 2 Ir 2.74, 8 Ag 2.85

Its space group is No. 47.

---

--- 2 ---
Computed, not measured: a relaxed structure of Ag2IrPt at the GGA-PBEsol level of DFT.

Unit cell a=5.5251 b=5.5251 c=2.7003 alpha=103.80 beta=103.80 gamma=120.78
Closest atoms and distances in Å follow each position.
Element x y z (fractional)
Ag 0.0000 0.5000 0.0000  6 Ag 2.70-2.76, 2 Ir 2.77, 2 Pt 2.77
Ag 0.5000 0.0000 0.0000  6 Ag 2.70-2.76, 2 Ir 2.77, 2 Pt 2.77
Ir 0.0000 0.0000 0.5000  2 Ir 2.70, 4 Pt 2.73-2.76, 4 Ag 2.77
Pt 0.5000 0.5000 0.5000  2 Pt 2.70, 4 Ir 2.73-2.76, 4 Ag 2.77

Its space group is No. 12.

---

--- 3 ---
Computed, not measured: a relaxed structure of Ag2IrPt at the GGA-PBEsol level of DFT.

Unit cell a=4.9454 b=4.9454 c=4.7934 alpha=99.19 beta=99.19 gamma=32.00
Closest atoms and distances in Å follow each position.
Element x y z (fractional)
Ag 0.2487 0.2487 0.2482  6 Ag 2.73-2.77, 3 Ir 2.82-2.84, 3 Pt 2.83-2.84
Ag 0.7513 0.7513 0.7518  6 Ag 2.73-2.77, 3 Ir 2.82-2.84, 3 Pt 2.83-2.84
Ir 0.5000 0.5000 0.0000  2 Ir 2.73, 4 Pt 2.76, 6 Ag 2.82-2.84
Pt 0.0000 0.0000 0.5000  2 Pt 2.73, 4 Ir 2.76, 6 Ag 2.83-2.84

Its space group is No. 12.

---

3 (5.1 kJ/mol of atoms below the next structure)

---

--- 1 ---
Computed, not measured: a relaxed structure of AgIr2Rh at the GGA-PBEsol level of DFT.

Unit cell a=9.1358 b=9.1358 c=9.1358 alpha=17.13 beta=17.13 gamma=17.13
Closest atoms and distances in Å follow each position.
Element x y z (fractional)
Ag 0.0000 0.0000 0.0000  6 Ag 2.72, 3 Rh 2.81, 3 Ir 2.84
Ir 0.5009 0.5009 0.5009  3 Rh 2.66, 9 Ir 2.67-2.72
Ir 0.7544 0.7544 0.7544  9 Ir 2.67-2.72, 3 Ag 2.84
Rh 0.2470 0.2470 0.2470  3 Ir 2.66, 6 Rh 2.72, 3 Ag 2.81

Its space group is No. 160.

---

--- 2 ---
Computed, not measured: a relaxed structure of AgIr2Rh at the GGA-PBEsol level of DFT.

Unit cell a=2.7117 b=3.8551 c=5.5117 alpha=90.00 beta=90.00 gamma=90.00
Closest atoms and distances in Å follow each position.
Element x y z (fractional)
Ag 0.0000 0.0000 0.0000  2 Ag 2.71, 2 Rh 2.76, 8 Ir 2.76
Ir 0.5000 0.5000 0.2615  4 Ir 2.63-2.88, 4 Rh 2.70, 4 Ag 2.76
Ir 0.5000 0.5000 0.7385  4 Ir 2.63-2.88, 4 Rh 2.70, 4 Ag 2.76
Rh 0.0000 0.0000 0.5000  8 Ir 2.70, 2 Rh 2.71, 2 Ag 2.76

Its space group is No. 47.

---

1 (16.2 kJ/mol of atoms below the next structure)

---

--- 1 ---
Computed, not measured: a relaxed structure of Ag2IrRu at the GGA-PBEsol level of DFT.

Unit cell a=2.7330 b=4.6272 c=4.8127 alpha=90.00 beta=90.00 gamma=90.00
Closest atoms and distances in Å follow each position.
Element x y z (fractional)
Ag 0.0000 0.0000 0.0000  6 Ag 2.69-2.73, 4 Ru 2.77
Ag 0.5000 0.5000 0.0000  6 Ag 2.69-2.73, 4 Ir 2.77
Ir 0.0000 0.5000 0.5000  4 Ru 2.69, 2 Ir 2.73, 4 Ag 2.77
Ru 0.5000 0.0000 0.5000  4 Ir 2.69, 2 Ru 2.73, 4 Ag 2.77

Its space group is No. 47.

---

--- 2 ---
Computed, not measured: a relaxed structure of Ag2IrRu at the GGA-PBEsol level of DFT.

Unit cell a=9.3683 b=9.3683 c=9.3683 alpha=16.81 beta=16.81 gamma=16.81
Closest atoms and distances in Å follow each position.
Element x y z (fractional)
Ag 0.0000 0.0000 0.0000  9 Ag 2.74-2.89, 3 Ir 2.87
Ag 0.2462 0.2462 0.2462  9 Ag 2.74-2.89, 3 Ru 2.85
Ir 0.7533 0.7533 0.7533  3 Ru 2.59, 6 Ir 2.74, 3 Ag 2.87
Ru 0.4940 0.4940 0.4940  3 Ir 2.59, 6 Ru 2.74, 3 Ag 2.85

Its space group is No. 160.

---

2 (31.5 kJ/mol of atoms below the next structure)